1.
The following is a PBEsol calculation of a relaxed structure of CuRe2Pb, from the Alexandria database.

Lattice parameters (Å, degrees): 4.159 4.159 7.283 90.00 90.00 90.00
Element x y z (fractional)
Cu 0.000 0.000 0.000
Cu 0.500 0.500 0.500
Re 0.000 0.000 0.500
Re 0.000 0.500 0.750
Re 0.500 0.000 0.250
Re 0.500 0.500 0.000
Pb 0.000 0.500 0.250
Pb 0.500 0.000 0.750

## Properties
E: -7.93 eV/atom
Formation energy: 80 kJ/mol of atoms
Energy above the most stable polymorph in this dataset: 0 meV/atom
SG: I-4m2 (119)

=====

2.
The following is a PBEsol calculation of a relaxed structure of Ca2CuAu, from the Alexandria database.

Lattice parameters (Å, degrees): 3.540 3.540 7.041 90.00 90.00 90.00
Element x y z (fractional)
Ca 0.000 0.000 0.248
Ca 0.000 0.000 0.752
Cu 0.500 0.500 0.000
Au 0.500 0.500 0.500

## Properties
E: -3.50 eV/atom
Formation energy: -36 kJ/mol of atoms
SG: P4/mmm (123)

=====

3.
The following is a PBEsol calculation of a relaxed structure of Zn2Pt2Au, from the Alexandria database.

Lattice parameters (Å, degrees): 7.329 7.329 2.819 90.00 90.00 90.00
Element x y z (fractional)
Zn 0.161 0.339 0.000
Zn 0.339 0.839 0.000
Zn 0.661 0.161 0.000
Zn 0.839 0.661 0.000
Pt 0.137 0.637 0.500
Pt 0.363 0.137 0.500
Pt 0.637 0.863 0.500
Pt 0.863 0.363 0.500
Au 0.000 0.000 0.500
Au 0.500 0.500 0.500

## Properties
E: -4.55 eV/atom
Formation energy: -33 kJ/mol of atoms
SG: P4/mbm (127)

=====

4.
The following is a PBEsol calculation of a relaxed structure of MoRh2SBr, from the Alexandria database.

Lattice parameters (Å, degrees): 4.694 4.694 4.674 90.00 90.00 90.00
Element x y z (fractional)
Mo 0.000 0.000 0.000
Rh 0.000 0.500 0.000
Rh 0.500 0.000 0.000
S 0.500 0.500 0.500
Br 0.000 0.000 0.500

## Properties
E: -5.60 eV/atom
E_form (uncorrected): 1.259 eV per atom
SG: P4/mmm (123)

=====

5.
The following is a PBEsol calculation of a relaxed structure of ZrCoRe3, from the Alexandria database.

Lattice parameters (Å, degrees): 4.645 4.645 4.645 90.00 90.00 90.00
Element x y z (fractional)
Zr 0.000 0.000 0.000
Co 0.500 0.500 0.500
Re 0.000 0.000 0.500
Re 0.000 0.500 0.000
Re 0.500 0.000 0.000

## Properties
E: -8.35 eV/atom
Formation energy: 291 kJ/mol of atoms
SG: Pm-3m (221)

=====

6.
The following is a PBEsol calculation of a relaxed structure of MgAlHg2, from the Alexandria database.

Lattice parameters (Å, degrees): 8.818 3.391 5.569 90.00 102.14 90.00
Element x y z (fractional)
Mg 0.000 0.000 0.000
Mg 0.500 0.500 0.000
Al 0.000 0.500 0.500
Al 0.500 0.000 0.500
Hg 0.248 0.000 0.743
Hg 0.252 0.500 0.257
Hg 0.748 0.500 0.743
Hg 0.752 0.000 0.257

## Properties
E: -1.84 eV/atom
Formation energy: -10 kJ/mol of atoms
SG: C2/m (12)

=====

Q: Among the records above, which one has the highest E?
A: MgAlHg2